The following is a PBE calculation of a geometry-optimized Fe2AgMo structure, from Alexandria via LeMat-Bulk.

raw total energy = -7.07 eV/atom
DFT formation energy = 2.32 eV per formula unit

Lattice parameters (Å, degrees): 2.8605 4.4122 4.6315 90.00 90.00 90.00
Closest atoms and distances in Å follow each position.
Positions (direct):
Fe 0.0000 0.0000 0.0000  4 Mo 2.63, 6 Fe 2.72-2.86
Fe 0.5000 0.0000 0.5000  4 Ag 2.63, 6 Fe 2.72-2.86
Ag 0.0000 0.5000 0.5000  4 Fe 2.63, 4 Mo 2.72, 2 Ag 2.86
Mo 0.5000 0.5000 0.0000  4 Fe 2.63, 4 Ag 2.72, 2 Mo 2.86


The following is a PBE calculation of a geometry-optimized DyHoI6 structure, from Alexandria via LeMat-Bulk.

raw total energy = -3.63 eV/atom
formation energy (no corrections) = -1320.8 meV/atom

Lattice parameters (Å, degrees): 8.1445 8.1445 8.1445 55.62 55.62 55.62
Closest atoms and distances in Å follow each position.
Positions (direct):
Dy 0.0000 0.0000 0.0000  6 I 3.04
Ho 0.5000 0.5000 0.5000  6 I 3.03
I 0.0911 0.7494 0.4100  1 Ho 3.03, 1 Dy 3.04
I 0.2506 0.5900 0.9089  1 Ho 3.03, 1 Dy 3.04
I 0.4100 0.0911 0.7494  1 Ho 3.03, 1 Dy 3.04
I 0.5900 0.9089 0.2506  1 Ho 3.03, 1 Dy 3.04
I 0.7494 0.4100 0.0911  1 Ho 3.03, 1 Dy 3.04
I 0.9089 0.2506 0.5900  1 Ho 3.03, 1 Dy 3.04